Ca2Al4PtAu3 | GGA-PBE | relaxed Values from VASP.

The structure in Quantum ESPRESSO input format:
```
&SYSTEM
  ibrav = 0, nat = 10, ntyp = 4
/
ATOMIC_SPECIES
Ca 40.08 Ca.upf
Al 26.98 Al.upf
Pt 195.08 Pt.upf
Au 196.97 Au.upf
CELL_PARAMETERS angstrom
4.3384 0.0000 0.0000
0.0000 4.3384 0.0000
0.0000 0.0000 10.7131
ATOMIC_POSITIONS crystal
Ca 0.5000 0.0000 0.2536
Ca 0.0000 0.5000 0.7464
Al 0.5000 0.5000 0.0000
Al 0.0000 0.0000 0.0000
Al 0.5000 0.0000 0.6244
Al 0.0000 0.5000 0.3756
Pt 0.5000 0.5000 0.5000
Au 0.0000 0.0000 0.5000
Au 0.5000 0.0000 0.8615
Au 0.0000 0.5000 0.1385
```

Values from the calculation:
* theoretical density: 8.0 g/cm3
* total moment: 0.00 μB/cell
* energy: -4.209 eV/atom
* volume: 20.164 A^3/atom



CrCd2TeRh | GGA-PBE | relaxed Values from VASP.

The structure in Quantum ESPRESSO input format:
```
&SYSTEM
  ibrav = 0, nat = 5, ntyp = 4
/
ATOMIC_SPECIES
Cr 52.00 Cr.upf
Te 127.60 Te.upf
Rh 102.91 Rh.upf
Cd 112.41 Cd.upf
CELL_PARAMETERS angstrom
5.4830 0.0000 0.0000
0.0000 4.9986 0.0000
0.0000 0.0000 5.4830
ATOMIC_POSITIONS crystal
Cr 0.0000 0.5000 0.0000
Te 0.0000 0.0000 0.0000
Rh 0.5000 0.5000 0.5000
Cd 0.0000 0.0000 0.5000
Cd 0.5000 0.0000 0.0000
```

Values from the calculation:
* energy relative to the lowest polymorph listed for this composition: 307 meV/atom
* theoretical density: 5.6 g/cm3
* total moment: 3.13 μB/cell
* ΔE_f (raw): 6.18 eV/f.u.
* energy: -3.154 eV/atom
* volume: 30.055 A^3/atom



Os2RuBr | GGA-PBE | relaxed Values from VASP.

The structure in Quantum ESPRESSO input format:
```
&SYSTEM
  ibrav = 0, nat = 4, ntyp = 3
/
ATOMIC_SPECIES
Ru 101.07 Ru.upf
Os 190.23 Os.upf
Br 79.90 Br.upf
CELL_PARAMETERS angstrom
-1.3551 2.1152 4.6943
0.2467 -3.0806 4.3353
2.5159 2.3220 -4.0773
ATOMIC_POSITIONS crystal
Ru 0.4840 0.4840 0.0000
Os 0.0080 0.0080 0.0000
Os 0.7591 0.2591 0.5000
Br 0.2488 0.7488 0.5000
```

Values from the calculation:
* energy relative to the lowest polymorph listed for this composition: 482 meV/atom
* theoretical density: 15.3 g/cm3
* total moment: 0.00 μB/cell
* ΔE_f (raw): 4.83 eV/f.u.
* energy: -7.146 eV/atom
* volume: 15.223 A^3/atom



CeTaVC3 | GGA-PBE | relaxed Values from VASP.

The structure in Quantum ESPRESSO input format:
```
&SYSTEM
  ibrav = 0, nat = 12, ntyp = 4
/
ATOMIC_SPECIES
Ce 140.12 Ce.upf
Ta 180.95 Ta.upf
V 50.94 V.upf
C 12.01 C.upf
CELL_PARAMETERS angstrom
-2.0165 1.8037 2.0537
1.0780 -4.5168 5.0254
5.6093 5.2796 0.8708
ATOMIC_POSITIONS crystal
Ce 0.7500 0.8112 0.8052
Ce 0.2500 0.1888 0.1948
Ta 0.2500 0.6528 0.1330
Ta 0.7500 0.3472 0.8670
V 0.2500 0.1050 0.6090
V 0.7500 0.8950 0.3910
C 0.2500 0.8127 0.4645
C 0.7500 0.8843 0.1386
C 0.7500 0.4413 0.1519
C 0.7500 0.1873 0.5355
C 0.2500 0.5587 0.8481
C 0.2500 0.1157 0.8614
```

Values from the calculation:
* theoretical density: 7.8 g/cm3
* total moment: 0.00 μB/cell
* energy: -9.235 eV/atom
* volume: 14.526 A^3/atom